Entry 1:
This record from the Alexandria database describes a geometry-optimized GaNi2MoH structure. The functional is PBE.

abc: 3.6548 3.6548 4.0704
angles: 90.00 90.00 90.00
With the nearest neighbours (Å) after each atom.
Fractional coordinates of all 5 atoms:
Ni: 0.5000 0.0000 0.0000  2 H 1.83
Ga: 0.5000 0.5000 0.5000  4 Mo 2.58, 8 Ni 2.74
Ni: 0.0000 0.5000 0.0000  2 H 1.83
H: 0.0000 0.0000 0.0000  4 Ni 1.83, 2 Mo 2.04
Mo: 0.0000 0.0000 0.5000  2 H 2.04

Properties
The total energy is -0.214 Ha/atom.

=====

Entry 2:
This record from the Alexandria database describes a geometry-optimized Ga2MoPH structure. The functional is PBE.

abc: 5.0579 3.4579 5.0579
angles: 90.00 90.00 90.00
With the nearest neighbours (Å) after each atom.
Fractional coordinates of all 5 atoms:
Mo: 0.0000 0.0000 0.0000  2 H 1.73
P: 0.5000 0.5000 0.5000  8 Ga 3.06
H: 0.0000 0.5000 0.0000  2 Mo 1.73
Ga: 0.5000 0.0000 0.0000  2 Mo 2.53
Ga: 0.0000 0.0000 0.5000  2 Mo 2.53

Properties
For the distance to the lowest polymorph of the same formula, the calculation gives 0.000 eV per atom. The total energy is -0.160 Ha/atom.

=====

What did the second record say?
This record from the Alexandria database describes a geometry-optimized Ga2MoPH structure. The functional is PBE.

abc: 5.0579 3.4579 5.0579
angles: 90.00 90.00 90.00
With the nearest neighbours (Å) after each atom.
Fractional coordinates of all 5 atoms:
Mo: 0.0000 0.0000 0.0000  2 H 1.73
P: 0.5000 0.5000 0.5000  8 Ga 3.06
H: 0.0000 0.5000 0.0000  2 Mo 1.73
Ga: 0.5000 0.0000 0.0000  2 Mo 2.53
Ga: 0.0000 0.0000 0.5000  2 Mo 2.53

Properties
For the distance to the lowest polymorph of the same formula, the calculation gives 0.000 eV per atom. The total energy is -0.160 Ha/atom.